Entry 1:
YInIr2: optimized geometry, GGA-PBE.

Values from the calculation:
Fermi-level density of states (states/eV/f.u.): 1.6
ΔH_f (0 K) (eV/atom): -0.2444
Space-group type: No. 25
M_tot (μB per formula unit): 0.00

Cell: 3.128 4.276 5.684 Å, 90.00 90.00 90.00°
Element x y z (fractional)
1 Y 0.000 0.000 0.000
2 In 0.500 0.500 0.322
3 Ir 0.000 0.000 0.503
4 Ir 0.500 0.500 0.805


Entry 2:
CdIr3N: optimized geometry, GGA-PBE.

Values from the calculation:
E_form (uncorrected) (eV per atom): 3.69
Fermi-level density of states (states/eV/f.u.): 9.8
Space-group type: No. 221
Offset from the most stable computed form (kJ per mole of atoms): 304.13
M_tot (μB per formula unit): 4.14

Cell: 4.906 4.906 4.906 Å, 90.00 90.00 90.00°
Element x y z (fractional)
1 Cd 0.000 0.000 0.000
2 Ir 0.000 0.000 0.500
3 Ir 0.000 0.500 0.000
4 Ir 0.500 0.000 0.000
5 N 0.500 0.500 0.500


Entry 3:
Na6TlHg23: optimized geometry, GGA-PBE.

Values from the calculation:
Fermi-level density of states (states/eV/f.u.): 9.3
ΔH_f (0 K) (eV/atom): -0.1439
Space-group type: No. 225
M_tot (μB per formula unit): 0.00

Cell: 10.382 10.382 10.382 Å, 60.00 60.00 60.00°
Element x y z (fractional)
1 Na 0.246 0.246 0.754
2 Na 0.246 0.754 0.246
3 Na 0.246 0.754 0.754
4 Na 0.754 0.246 0.246
5 Na 0.754 0.246 0.754
6 Na 0.754 0.754 0.246
7 Tl 0.500 0.500 0.500
8 Hg 0.000 0.000 0.000
9 Hg 0.000 0.000 0.500
10 Hg 0.000 0.500 0.000
11 Hg 0.000 0.500 0.500
12 Hg 0.108 0.631 0.631
13 Hg 0.131 0.131 0.131
14 Hg 0.131 0.131 0.606
15 Hg 0.131 0.606 0.131
16 Hg 0.369 0.369 0.369
17 Hg 0.369 0.369 0.892
18 Hg 0.369 0.892 0.369
19 Hg 0.394 0.869 0.869
20 Hg 0.500 0.000 0.000
21 Hg 0.500 0.000 0.500
22 Hg 0.500 0.500 0.000
23 Hg 0.606 0.131 0.131
24 Hg 0.631 0.108 0.631
25 Hg 0.631 0.631 0.108
26 Hg 0.631 0.631 0.631
27 Hg 0.869 0.394 0.869
28 Hg 0.869 0.869 0.394
29 Hg 0.869 0.869 0.869
30 Hg 0.892 0.369 0.369


Entry 4:
PmScFe4: optimized geometry, GGA-PBE.

Values from the calculation:
Fermi-level density of states (states/eV/f.u.): 8.4
ΔH_f (0 K) (eV/atom): -0.0762
Space-group type: No. 216
M_tot (μB per formula unit): 6.92

Cell: 5.087 5.087 5.087 Å, 60.00 60.00 60.00°
Element x y z (fractional)
1 Pm 0.000 0.000 0.000
2 Sc 0.250 0.250 0.250
3 Fe 0.127 0.624 0.624
4 Fe 0.624 0.127 0.624
5 Fe 0.624 0.624 0.127
6 Fe 0.624 0.624 0.624


Entry 5:
DyY2Sb: optimized geometry, GGA-PBE.

Values from the calculation:
E_form (uncorrected) (eV per atom): -0.47
Fermi-level density of states (states/eV/f.u.): 5.1
Space-group type: No. 123
Offset from the most stable computed form (kJ per mole of atoms): 10.43
M_tot (μB per formula unit): 0.00

Cell: 4.816 4.816 4.755 Å, 90.00 90.00 90.00°
Element x y z (fractional)
1 Dy 0.000 0.000 0.000
2 Y 0.000 0.500 0.500
3 Y 0.500 0.000 0.500
4 Sb 0.500 0.500 0.000


Entry 6:
AsWSe2: optimized geometry, GGA-PBE.

Values from the calculation:
E_form (uncorrected) (eV per atom): 0.67
Fermi-level density of states (states/eV/f.u.): 3.0
Space-group type: No. 123
M_tot (μB per formula unit): 0.00

Cell: 4.729 4.729 3.134 Å, 90.00 90.00 90.00°
Element x y z (fractional)
1 As 0.000 0.000 0.000
2 W 0.500 0.500 0.000
3 Se 0.000 0.500 0.500
4 Se 0.500 0.000 0.500


> Number 6 is which compound?

AsWSe2